NaAlMoO5: relaxed, PBE+U.

E_tot (eV/atom): -6.6467
SG: C2/c (15)
Magnetization (μB/f.u.): 0.1
V (Å³/atom): 12.97

Cell and atoms, written as POSCAR:
```
NaAlMoO5
1.0
5.7795 0.0572 0.1075
-1.6324 5.5445 0.1075
-1.5965 -2.1564 6.3758
Mo O Na Al
2 10 2 2
Cartesian
-0.3996 2.1281 4.8893 Mo
2.9503 1.3172 1.7014 Mo
1.5454 1.1841 0.5914 O
4.4632 1.5218 0.7508 O
4.2215 -1.2930 4.8893 O
1.0053 2.2613 5.9993 O
-1.9125 1.9235 5.8400 O
-0.1168 0.7455 3.7793 O
-1.6708 4.7384 1.7014 O
-0.6455 3.6348 3.9387 O
3.1962 -0.1895 2.6521 O
2.6675 2.6998 2.8115 O
2.3673 0.0797 4.8893 Na
0.1834 3.3657 1.7014 Na
-0.7982 -1.0782 3.1879 Al
0.0000 0.0000 0.0000 Al
```